*w*
Entry from the Alexandria database: a relaxed structure of MgFeAg (GGA-PBE).

Cell lengths 4.3730, 4.3730, 4.3730 Å; angles 60.00, 60.00, 60.00 degrees
Last column: nearest neighbours and their distance in Å.
Sites, in units of the cell vectors:
1 Ag 0.7500 0.7500 0.7500  4 Fe 2.68, 4 Mg 2.68
2 Fe 0.0000 0.0000 0.0000  4 Ag 2.68
3 Mg 0.5000 0.5000 0.5000  4 Ag 2.68

Calculated values
Magnetic moment ... 0.9965 μB per atom
Calculated density ... 5.28 g cm⁻³

*x*
Entry from the Alexandria database: a relaxed structure of MgFeAg (GGA-PBE).

Cell lengths 4.5138, 4.5138, 2.7814 Å; angles 90.00, 90.00, 120.00 degrees
Last column: nearest neighbours and their distance in Å.
Sites, in units of the cell vectors:
1 Ag 0.0000 0.0000 0.0301  3 Fe 2.71, 2 Ag 2.78, 3 Mg 2.79
2 Fe 0.3333 0.6667 0.2983  3 Ag 2.71, 2 Fe 2.78, 3 Mg 2.81
3 Mg 0.6667 0.3333 0.6716  2 Mg 2.78, 3 Ag 2.79, 3 Fe 2.81

Calculated values
Magnetic moment ... 0.9011 μB per atom
Calculated density ... 6.36 g cm⁻³

Quick one: most stable of them? *x*

*w*
Entry from the Alexandria database: a relaxed structure of Mn2FeAg (GGA-PBE).

Cell lengths 4.0534, 4.0540, 3.5581 Å; angles 90.00, 90.00, 90.00 degrees
Last column: nearest neighbours and their distance in Å.
Sites, in units of the cell vectors:
1 Ag 0.5000 0.0000 0.5000  8 Mn 2.70, 4 Fe 2.87
2 Fe 0.0000 0.5000 0.5000  8 Mn 2.70, 4 Ag 2.87
3 Mn 0.0000 0.0000 0.0000  4 Ag 2.70, 4 Fe 2.70, 4 Mn 2.87
4 Mn 0.5000 0.5000 0.0000  4 Fe 2.70, 4 Ag 2.70, 4 Mn 2.87

Calculated values
Magnetic moment ... 2.4794 μB per atom
Calculated density ... 7.77 g cm⁻³

*x*
Entry from the Alexandria database: a relaxed structure of Mn2FeAg (GGA-PBE).

Cell lengths 2.8678, 2.8678, 6.7880 Å; angles 90.00, 90.00, 90.00 degrees
Last column: nearest neighbours and their distance in Å.
Sites, in units of the cell vectors:
1 Ag 0.5000 0.5000 0.2500  8 Mn 2.84, 4 Ag 2.87
2 Fe 0.5000 0.5000 0.7500  8 Mn 2.47
3 Mn 0.0000 0.0000 0.9575  4 Fe 2.47
4 Mn 0.0000 0.0000 0.5425  4 Fe 2.47

Calculated values
Magnetic moment ... 1.9081 μB per atom
Calculated density ... 8.14 g cm⁻³

Quick one: most stable of them? *x*